1.
{
  "formula": "MgIn6Pb",
  "functional": "PBE",
  "state": "optimized geometry",
  "lattice": [[4.860, 0.000, 0.000], [0.000, 4.860, 0.000], [0.000, 0.000, 9.038]],
  "species": ["Mg", "In", "In", "In", "In", "In", "In", "Pb"],
  "frac_coords": [[0.000, 0.000, 0.500], [0.500, 0.500, 0.000], [0.500, 0.500, 0.500], [0.500, 0.000, 0.263], [0.500, 0.000, 0.737], [0.000, 0.500, 0.263], [0.000, 0.500, 0.737], [0.000, 0.000, 0.000]],
  "magmom_total_mub_per_atom": 0.000,
  "spacegroup": "P4/mmm, No. 123",
  "e_form_ev_per_atom": 0.0077,
  "energy_ev_per_atom": -2.7090
}

2.
{
  "formula": "Mg6In5Pb",
  "functional": "PBE",
  "state": "optimized geometry",
  "lattice": [[-8.902, 0.917, -1.327], [-3.164, -3.559, -2.048], [-2.914, -4.612, 5.958]],
  "species": ["Mg", "Mg", "Mg", "Mg", "Mg", "Mg", "In", "In", "In", "In", "In", "Pb"],
  "frac_coords": [[0.746, 0.084, 0.339], [0.254, 0.577, 0.339], [0.256, 0.243, 0.000], [0.744, 0.757, 0.000], [0.746, 0.423, 0.661], [0.254, 0.916, 0.661], [0.500, 0.166, 0.668], [0.000, 0.333, 0.334], [0.500, 0.500, 0.000], [0.000, 0.667, 0.666], [0.500, 0.834, 0.332], [0.000, 0.000, 0.000]],
  "magmom_total_mub_per_atom": 0.000,
  "spacegroup": "C2/m, No. 12",
  "e_form_ev_per_atom": -0.0645,
  "energy_ev_per_atom": -2.3118
}

3.
{
  "formula": "Mg2InPb5",
  "functional": "PBE",
  "state": "optimized geometry",
  "lattice": [[6.213, 0.685, -2.532], [-2.583, 5.692, -2.534], [-0.394, -0.690, 6.699]],
  "species": ["Mg", "Mg", "In", "Pb", "Pb", "Pb", "Pb", "Pb"],
  "frac_coords": [[0.278, 0.778, 0.500], [0.778, 0.278, 0.500], [0.778, 0.778, 0.000], [0.278, 0.278, 0.500], [0.278, 0.778, 0.000], [0.778, 0.278, 0.000], [0.778, 0.778, 0.500], [0.278, 0.278, 0.000]],
  "magmom_total_mub_per_atom": 0.000,
  "spacegroup": "I4mm, No. 107",
  "e_form_ev_per_atom": 0.0055,
  "energy_ev_per_atom": -3.0532
}

4.
{
  "formula": "MgIn4Pb2",
  "functional": "PBE",
  "state": "optimized geometry",
  "lattice": [[5.455, 0.000, 0.000], [0.000, 5.455, 0.000], [-2.728, -2.728, 7.730]],
  "species": ["Mg", "In", "In", "In", "In", "Pb", "Pb"],
  "frac_coords": [[0.000, 0.000, 0.000], [0.386, 0.386, 0.772], [0.614, 0.614, 0.228], [0.000, 0.500, 0.000], [0.500, 0.000, 0.000], [0.191, 0.191, 0.381], [0.809, 0.809, 0.619]],
  "magmom_total_mub_per_atom": 0.000,
  "spacegroup": "I4/mmm, No. 139",
  "e_form_ev_per_atom": 0.2944,
  "energy_ev_per_atom": -2.5578
}

5.
{
  "formula": "Mg5In2Pb2",
  "functional": "PBE",
  "state": "optimized geometry",
  "lattice": [[4.619, 0.000, 0.000], [-2.309, 9.103, -0.606], [0.000, -2.904, 5.729]],
  "species": ["Mg", "Mg", "Mg", "Mg", "Mg", "In", "In", "Pb", "Pb"],
  "frac_coords": [[0.398, 0.797, 0.117], [0.602, 0.203, 0.883], [0.201, 0.401, 0.292], [0.799, 0.599, 0.708], [0.000, 0.000, 0.000], [0.195, 0.391, 0.795], [0.805, 0.609, 0.205], [0.404, 0.808, 0.621], [0.596, 0.192, 0.379]],
  "magmom_total_mub_per_atom": 0.000,
  "spacegroup": "C2/m, No. 12",
  "e_form_ev_per_atom": -0.0186,
  "energy_ev_per_atom": -2.3371
}

6.
{
  "formula": "Mg3In2Pb3",
  "functional": "PBE",
  "state": "optimized geometry",
  "lattice": [[4.378, 0.000, 0.000], [0.000, 4.863, 0.000], [-2.189, -2.432, 9.958]],
  "species": ["Mg", "Mg", "Mg", "In", "In", "Pb", "Pb", "Pb"],
  "frac_coords": [[0.127, 0.127, 0.255], [0.000, 0.500, 0.000], [0.873, 0.873, 0.745], [0.748, 0.248, 0.497], [0.252, 0.752, 0.503], [0.623, 0.623, 0.246], [0.377, 0.377, 0.754], [0.500, 0.000, 0.000]],
  "magmom_total_mub_per_atom": 0.000,
  "spacegroup": "Immm, No. 71",
  "e_form_ev_per_atom": -0.0311,
  "energy_ev_per_atom": -2.7043
}

7.
{
  "formula": "Mg6In2Pb",
  "functional": "PBE",
  "state": "optimized geometry",
  "lattice": [[-2.473, -3.258, -2.782], [2.932, -7.878, 2.222], [-2.305, -6.514, 5.278]],
  "species": ["Mg", "Mg", "Mg", "Mg", "Mg", "Mg", "In", "In", "Pb"],
  "frac_coords": [[0.194, 0.552, 0.061], [0.806, 0.448, 0.939], [0.806, 0.939, 0.448], [0.000, 0.234, 0.766], [0.000, 0.766, 0.234], [0.194, 0.061, 0.552], [0.384, 0.116, 0.116], [0.616, 0.884, 0.884], [0.500, 0.500, 0.500]],
  "magmom_total_mub_per_atom": 0.000,
  "spacegroup": "Immm, No. 71",
  "e_form_ev_per_atom": 0.1241,
  "energy_ev_per_atom": -1.9596
}

8.
{
  "formula": "MgIn4Pb2",
  "functional": "PBE",
  "state": "optimized geometry",
  "lattice": [[-2.337, -0.982, -2.577], [-1.160, -3.563, 2.410], [-7.810, 7.192, 6.876]],
  "species": ["Mg", "In", "In", "In", "In", "Pb", "Pb"],
  "frac_coords": [[0.500, 0.000, 0.000], [0.938, 0.500, 0.877], [0.627, 0.000, 0.254], [0.062, 0.500, 0.123], [0.373, 0.000, 0.746], [0.808, 0.500, 0.617], [0.192, 0.500, 0.383]],
  "magmom_total_mub_per_atom": 0.000,
  "spacegroup": "Cmmm, No. 65",
  "e_form_ev_per_atom": 0.0299,
  "energy_ev_per_atom": -2.8222
}

9.
{
  "formula": "Mg2InPb",
  "functional": "PBE",
  "state": "optimized geometry",
  "lattice": [[-0.976, -2.673, -4.015], [-2.396, -4.278, 0.414], [-5.713, 0.199, -1.760]],
  "species": ["Mg", "Mg", "In", "Pb"],
  "frac_coords": [[0.063, 0.063, 0.812], [0.268, 0.268, 0.196], [0.685, 0.685, 0.945], [0.484, 0.484, 0.547]],
  "magmom_total_mub_per_atom": 0.000,
  "spacegroup": "R3m, No. 160",
  "e_form_ev_per_atom": 0.0268,
  "energy_ev_per_atom": -2.3822
}

10.
{
  "formula": "MgIn7Pb4",
  "functional": "PBE",
  "state": "optimized geometry",
  "lattice": [[5.569, -1.456, 3.395], [0.829, 4.693, 3.234], [2.898, -1.626, 13.685]],
  "species": ["Mg", "In", "In", "In", "In", "In", "In", "In", "Pb", "Pb", "Pb", "Pb"],
  "frac_coords": [[0.000, 0.000, 0.000], [0.072, 0.662, 0.837], [0.928, 0.338, 0.163], [0.143, 0.310, 0.682], [0.857, 0.690, 0.318], [0.247, 0.966, 0.513], [0.500, 0.000, 0.000], [0.753, 0.034, 0.487], [0.349, 0.639, 0.337], [0.651, 0.361, 0.663], [0.563, 0.681, 0.837], [0.437, 0.319, 0.163]],
  "magmom_total_mub_per_atom": 0.000,
  "spacegroup": "P-1, No. 2",
  "e_form_ev_per_atom": 0.0094,
  "energy_ev_per_atom": -2.9570
}

11.
{
  "formula": "Mg4InPb",
  "functional": "PBE",
  "state": "optimized geometry",
  "lattice": [[-4.373, -2.114, -3.451], [-5.089, -1.884, 2.459], [-5.005, 3.148, -0.730]],
  "species": ["In", "Mg", "Mg", "Mg", "Mg", "Pb"],
  "frac_coords": [[0.000, 0.000, 0.000], [0.125, 0.625, 0.625], [0.625, 0.625, 0.625], [0.625, 0.125, 0.625], [0.625, 0.625, 0.125], [0.250, 0.250, 0.250]],
  "magmom_total_mub_per_atom": 0.000,
  "spacegroup": "F-43m, No. 216",
  "e_form_ev_per_atom": 0.0249,
  "energy_ev_per_atom": -2.1126
}

12.
{
  "formula": "Mg5In3Pb3",
  "functional": "PBE",
  "state": "optimized geometry",
  "lattice": [[-2.017, -1.950, -2.100], [8.430, -4.051, -4.362], [-2.072, -3.206, 8.205]],
  "species": ["Mg", "Mg", "Mg", "Mg", "Mg", "In", "In", "In", "Pb", "Pb", "Pb"],
  "frac_coords": [[0.729, 0.576, 0.352], [0.367, 0.296, 0.662], [0.541, 0.157, 0.991], [0.380, 0.811, 0.670], [0.710, 0.078, 0.327], [0.048, 0.904, 0.998], [0.216, 0.319, 0.324], [0.866, 0.051, 0.658], [0.048, 0.431, 0.012], [0.202, 0.807, 0.301], [0.892, 0.570, 0.705]],
  "magmom_total_mub_per_atom": 0.000,
  "spacegroup": "P1, No. 1",
  "e_form_ev_per_atom": -0.0368,
  "energy_ev_per_atom": -2.5198
}

13.
{
  "formula": "Mg2InPb",
  "functional": "PBE",
  "state": "optimized geometry",
  "lattice": [[10.681, 0.143, 0.084], [10.116, 3.430, 0.084], [10.116, 1.738, 2.958]],
  "species": ["Pb", "Mg", "Mg", "In"],
  "frac_coords": [[0.250, 0.250, 0.250], [0.005, 0.005, 0.005], [0.495, 0.495, 0.495], [0.750, 0.750, 0.750]],
  "magmom_total_mub_per_atom": 0.000,
  "spacegroup": "R-3m, No. 166",
  "e_form_ev_per_atom": -0.0539,
  "energy_ev_per_atom": -2.4629
}

14.
{
  "formula": "MgIn2Pb",
  "functional": "PBE",
  "state": "optimized geometry",
  "lattice": [[5.369, 0.000, 0.000], [2.684, 4.649, 0.000], [2.684, 1.550, 4.383]],
  "species": ["Pb", "Mg", "In", "In"],
  "frac_coords": [[0.750, 0.750, 0.750], [0.500, 0.500, 0.500], [0.000, 0.000, 0.000], [0.250, 0.250, 0.250]],
  "magmom_total_mub_per_atom": 0.000,
  "spacegroup": "F-43m, No. 216",
  "e_form_ev_per_atom": 0.0070,
  "energy_ev_per_atom": -2.6879
}

15.
{
  "formula": "MgInPb",
  "functional": "PBE",
  "state": "optimized geometry",
  "lattice": [[3.421, 0.000, 0.000], [-1.711, 2.963, 0.000], [0.000, 0.000, 8.026]],
  "species": ["Pb", "Mg", "In"],
  "frac_coords": [[0.333, 0.667, 0.659], [0.667, 0.333, 0.328], [0.000, 0.000, 0.013]],
  "magmom_total_mub_per_atom": 0.000,
  "spacegroup": "P3m1, No. 156",
  "e_form_ev_per_atom": -0.0098,
  "energy_ev_per_atom": -2.6902
}

16.
{
  "formula": "Mg2InPb",
  "functional": "PBE",
  "state": "optimized geometry",
  "lattice": [[5.943, -0.084, -0.046], [2.219, 5.514, 0.046], [-3.391, -3.752, 3.123]],
  "species": ["Pb", "Mg", "Mg", "In"],
  "frac_coords": [[0.250, 0.750, 0.500], [0.994, 0.994, 0.000], [0.506, 0.506, 0.000], [0.750, 0.250, 0.500]],
  "magmom_total_mub_per_atom": 0.000,
  "spacegroup": "Immm, No. 71",
  "e_form_ev_per_atom": -0.0018,
  "energy_ev_per_atom": -2.4108
}

17.
{
  "formula": "MgIn3Pb2",
  "functional": "PBE",
  "state": "optimized geometry",
  "lattice": [[3.585, 0.000, 0.000], [0.000, 5.209, -1.719], [0.000, 0.069, 8.962]],
  "species": ["Mg", "In", "In", "In", "Pb", "Pb"],
  "frac_coords": [[0.000, 0.000, 0.000], [0.000, 0.669, 0.337], [0.000, 0.331, 0.663], [0.500, 0.500, 0.000], [0.500, 0.845, 0.690], [0.500, 0.155, 0.310]],
  "magmom_total_mub_per_atom": 0.000,
  "spacegroup": "Cmmm, No. 65",
  "e_form_ev_per_atom": 0.0163,
  "energy_ev_per_atom": -2.8548
}

18.
{
  "formula": "MgIn12Pb6",
  "functional": "PBE",
  "state": "optimized geometry",
  "lattice": [[8.361, -0.245, -2.051], [-2.557, 7.964, -2.051], [-0.184, -0.245, 8.607]],
  "species": ["Mg", "In", "In", "In", "In", "In", "In", "In", "In", "In", "In", "In", "In", "Pb", "Pb", "Pb", "Pb", "Pb", "Pb"],
  "frac_coords": [[0.000, 0.000, 0.000], [0.522, 0.188, 0.623], [0.188, 0.623, 0.522], [0.623, 0.522, 0.188], [0.478, 0.812, 0.377], [0.812, 0.377, 0.478], [0.377, 0.478, 0.812], [0.265, 0.078, 0.801], [0.199, 0.735, 0.922], [0.922, 0.199, 0.735], [0.735, 0.922, 0.199], [0.801, 0.265, 0.078], [0.078, 0.801, 0.265], [0.125, 0.216, 0.418], [0.784, 0.582, 0.875], [0.582, 0.875, 0.784], [0.875, 0.784, 0.582], [0.216, 0.418, 0.125], [0.418, 0.125, 0.216]],
  "magmom_total_mub_per_atom": 0.000,
  "spacegroup": "R-3, No. 148",
  "e_form_ev_per_atom": 0.0471,
  "energy_ev_per_atom": -2.9375
}

19.
{
  "formula": "Mg5InPb4",
  "functional": "PBE",
  "state": "optimized geometry",
  "lattice": [[-0.689, 1.097, -3.341], [-3.514, -0.350, 0.610], [-0.787, 19.057, 6.419]],
  "species": ["Mg", "Mg", "Mg", "Mg", "Mg", "In", "Pb", "Pb", "Pb", "Pb"],
  "frac_coords": [[0.500, 0.500, 0.090], [0.500, 0.500, 0.297], [0.500, 0.500, 0.500], [0.500, 0.500, 0.703], [0.500, 0.500, 0.910], [0.000, 0.000, 0.000], [0.000, 0.000, 0.194], [0.000, 0.000, 0.399], [0.000, 0.000, 0.601], [0.000, 0.000, 0.806]],
  "magmom_total_mub_per_atom": 0.000,
  "spacegroup": "P4/mmm, No. 123",
  "e_form_ev_per_atom": -0.0595,
  "energy_ev_per_atom": -2.6140
}

20.
{
  "formula": "Mg2InPb",
  "functional": "PBE",
  "state": "optimized geometry",
  "lattice": [[-4.700, 0.431, -0.025], [-0.030, -0.048, 4.719], [-1.458, 10.086, 2.454]],
  "species": ["Pb", "Pb", "Mg", "Mg", "Mg", "Mg", "In", "In"],
  "frac_coords": [[0.000, 0.000, 0.000], [0.750, 0.250, 0.500], [0.611, 0.125, 0.250], [0.139, 0.625, 0.250], [0.375, 0.389, 0.750], [0.875, 0.861, 0.750], [0.500, 0.500, 0.000], [0.250, 0.750, 0.500]],
  "magmom_total_mub_per_atom": 0.000,
  "spacegroup": "I-42d, No. 122",
  "e_form_ev_per_atom": 0.0677,
  "energy_ev_per_atom": -2.3413
}

21.
{
  "formula": "Mg4In15Pb",
  "functional": "PBE",
  "state": "optimized geometry",
  "lattice": [[-1.826, 3.077, -3.054], [-1.748, -3.555, -2.536], [-19.569, 0.739, 12.448]],
  "species": ["Mg", "Mg", "Mg", "Mg", "In", "In", "In", "In", "In", "In", "In", "In", "In", "In", "In", "In", "In", "In", "In", "Pb"],
  "frac_coords": [[0.000, 0.000, 0.207], [0.000, 0.000, 0.401], [0.000, 0.000, 0.599], [0.000, 0.000, 0.793], [0.500, 0.500, 0.000], [0.500, 0.500, 0.207], [0.500, 0.500, 0.403], [0.500, 0.500, 0.597], [0.500, 0.500, 0.793], [0.500, 0.000, 0.108], [0.500, 0.000, 0.304], [0.500, 0.000, 0.500], [0.500, 0.000, 0.696], [0.500, 0.000, 0.892], [0.000, 0.500, 0.108], [0.000, 0.500, 0.304], [0.000, 0.500, 0.500], [0.000, 0.500, 0.696], [0.000, 0.500, 0.892], [0.000, 0.000, 0.000]],
  "magmom_total_mub_per_atom": 0.000,
  "spacegroup": "P4/mmm, No. 123",
  "e_form_ev_per_atom": -0.0234,
  "energy_ev_per_atom": -2.5816
}

22.
{
  "formula": "Mg15InPb4",
  "functional": "PBE",
  "state": "optimized geometry",
  "lattice": [[-1.118, -2.890, 3.244], [-2.969, -1.938, -2.749], [16.607, -14.821, -7.481]],
  "species": ["Mg", "Mg", "Mg", "Mg", "Mg", "Mg", "Mg", "Mg", "Mg", "Mg", "Mg", "Mg", "Mg", "Mg", "Mg", "In", "Pb", "Pb", "Pb", "Pb"],
  "frac_coords": [[0.500, 0.500, 0.000], [0.500, 0.500, 0.198], [0.500, 0.500, 0.399], [0.500, 0.500, 0.601], [0.500, 0.500, 0.802], [0.500, 0.000, 0.097], [0.500, 0.000, 0.299], [0.500, 0.000, 0.500], [0.500, 0.000, 0.701], [0.500, 0.000, 0.903], [0.000, 0.500, 0.097], [0.000, 0.500, 0.299], [0.000, 0.500, 0.500], [0.000, 0.500, 0.701], [0.000, 0.500, 0.903], [0.000, 0.000, 0.000], [0.000, 0.000, 0.198], [0.000, 0.000, 0.400], [0.000, 0.000, 0.600], [0.000, 0.000, 0.802]],
  "magmom_total_mub_per_atom": 0.000,
  "spacegroup": "P4/mmm, No. 123",
  "e_form_ev_per_atom": -0.0489,
  "energy_ev_per_atom": -2.1235
}

23.
{
  "formula": "Mg2InPb9",
  "functional": "PBE",
  "state": "optimized geometry",
  "lattice": [[-2.651, 1.972, 3.662], [0.587, -4.121, 2.644], [12.267, 5.533, 5.901]],
  "species": ["Mg", "Mg", "In", "Pb", "Pb", "Pb", "Pb", "Pb", "Pb", "Pb", "Pb", "Pb"],
  "frac_coords": [[0.000, 0.000, 0.336], [0.000, 0.000, 0.664], [0.000, 0.000, 0.000], [0.500, 0.500, 0.000], [0.500, 0.500, 0.338], [0.500, 0.500, 0.662], [0.500, 0.000, 0.173], [0.500, 0.000, 0.500], [0.500, 0.000, 0.827], [0.000, 0.500, 0.173], [0.000, 0.500, 0.500], [0.000, 0.500, 0.827]],
  "magmom_total_mub_per_atom": 0.000,
  "spacegroup": "P4/mmm, No. 123",
  "e_form_ev_per_atom": 0.0059,
  "energy_ev_per_atom": -3.2694
}